A plane-wave DFT calculation with PBE with a Hubbard U was carried out for crystalline YAgMoO5 at its relaxed geometry.

```
YAgMoO5
1.0
4.3327 -4.5706 0.0000
4.3327 4.5706 0.0000
-4.0357 0.0000 7.4151
Y Ag Mo O
2 2 2 10
Direct
0.0000 0.0000 0.0000 Y
0.0000 0.0000 0.5000 Y
0.2973 0.7027 0.7500 Ag
0.7027 0.2973 0.2500 Ag
0.3624 0.6376 0.2500 Mo
0.6376 0.3624 0.7500 Mo
0.0636 0.9364 0.7500 O
0.2379 0.7439 0.4166 O
0.2561 0.7621 0.0833 O
0.2847 0.3294 0.1466 O
0.3294 0.2847 0.6466 O
0.6706 0.7153 0.3534 O
0.7153 0.6706 0.8534 O
0.7439 0.2379 0.9166 O
0.7621 0.2561 0.5834 O
0.9364 0.0636 0.2500 O
```

Crystal system: monoclinic
Total energy in eV per atom: -7.045
Space group: C2/c (15)